Record 1
PtAuNO | PBE | relaxed

Calculated values
Uncorrected energy (eV/atom): -4.91
Crystal system: orthorhombic
Total magnetization (μB/atom): 0.000

Cell: 3.285 6.114 5.627 Å, 90.00 90.00 90.00°
Positions (direct):
Pt 0.000 0.509 0.425
Pt 0.000 0.009 0.575
Au 0.500 0.023 0.179
O 0.500 0.414 0.190
O 0.500 0.914 0.810
N 0.000 0.808 0.307
N 0.000 0.308 0.693
Au 0.500 0.523 0.821

Record 2
ErSc3Pb2C2 | PBE | relaxed

Calculated values
Uncorrected energy (eV/atom): -6.75
Crystal system: trigonal
Total magnetization (μB/atom): 0.002

Cell: 3.456 3.456 15.333 Å, 90.00 90.00 120.00°
Positions (direct):
Sc 0.333 0.667 0.425
Pb 0.333 0.667 0.747
Pb 0.667 0.333 0.258
C 0.000 0.000 0.502
Sc 0.667 0.333 0.579
C 0.000 0.000 0.993
Er 0.333 0.667 0.081
Sc 0.667 0.333 0.916

Record 3
Zr2BeSn | PBE | relaxed

Calculated values
Uncorrected energy (eV/atom): -5.89
Crystal system: cubic
Total magnetization (μB/atom): 0.001

Cell: 4.803 4.803 4.803 Å, 60.00 60.00 60.00°
Positions (direct):
Be 0.250 0.250 0.250
Zr 0.000 0.000 0.000
Zr 0.750 0.750 0.750
Sn 0.500 0.500 0.500

Record 4
AlZnHgAu | PBE | relaxed

Calculated values
Uncorrected energy (eV/atom): -2.03
Crystal system: cubic

Cell: 4.749 4.749 4.749 Å, 60.00 60.00 60.00°
Positions (direct):
Hg 0.500 0.500 0.500
Al 0.000 0.000 0.000
Au 0.750 0.750 0.750
Zn 0.250 0.250 0.250

Record 5
TcTe2Au2 | PBE | relaxed

Calculated values
Uncorrected energy (eV/atom): -3.68
Crystal system: tetragonal
Total magnetization (μB/atom): 0.851

Cell: 7.093 7.093 7.093 Å, 143.58 143.58 52.46°
Positions (direct):
Au 0.601 0.601 0.000
Tc 0.000 0.000 0.000
Te 0.250 0.750 0.500
Te 0.750 0.250 0.500
Au 0.399 0.399 0.000

Record 6
Li2PmAg4 | PBE | relaxed

Calculated values
Uncorrected energy (eV/atom): -3.10
Crystal system: monoclinic
Total magnetization (μB/atom): 0.001

Cell: 5.722 5.722 5.293 Å, 117.28 117.28 77.89°
Positions (direct):
Ag 0.608 0.000 0.304
Li 0.500 0.500 0.249
Pm 0.000 0.000 0.000
Ag 0.000 0.392 0.696
Ag 0.392 0.000 0.696
Li 0.500 0.500 0.751
Ag 0.000 0.608 0.304

Record 7
HfGaAsO | PBE | relaxed

Calculated values
Uncorrected energy (eV/atom): -6.83
Crystal system: orthorhombic
Total magnetization (μB/atom): 0.003

Cell: 3.909 8.033 5.681 Å, 90.00 90.00 90.00°
Positions (direct):
As 0.000 0.172 0.876
O 0.500 0.460 0.379
Hf 0.500 0.655 0.575
Ga 0.000 0.856 0.924
Hf 0.500 0.345 0.075
Ga 0.000 0.144 0.424
As 0.000 0.828 0.376
O 0.500 0.540 0.879

Record 8
Gd2Cu2I | PBE | relaxed

Calculated values
Uncorrected energy (eV/atom): -4.21
Crystal system: hexagonal
Total magnetization (μB/atom): 0.001

Cell: 4.130 4.130 8.325 Å, 90.00 90.00 120.00°
Positions (direct):
Cu 0.333 0.667 0.500
Cu 0.000 0.000 0.500
I 0.333 0.667 0.000
Gd 0.667 0.333 0.291
Gd 0.667 0.333 0.709

Record 9
AlAuSO | PBE | relaxed

Calculated values
Uncorrected energy (eV/atom): -5.14
Crystal system: orthorhombic

Cell: 3.587 6.862 5.627 Å, 90.00 90.00 90.00°
Positions (direct):
Al 0.500 0.875 0.047
S 0.000 0.321 0.634
S 0.000 0.679 0.134
Al 0.500 0.125 0.547
Au 0.000 0.686 0.566
O 0.500 0.927 0.744
Au 0.000 0.314 0.066
O 0.500 0.073 0.244

Record 10
DySiPt | PBE | relaxed

Calculated values
Uncorrected energy (eV/atom): -5.91
Crystal system: hexagonal
Total magnetization (μB/atom): 0.000

Cell: 7.829 7.829 3.241 Å, 90.00 90.00 120.00°
Positions (direct):
Dy 0.707 0.707 0.000
Si 0.667 0.333 0.000
Si 0.333 0.667 0.000
Si 0.000 0.000 0.500
Dy 0.000 0.293 0.000
Dy 0.293 0.000 0.000
Pt 0.642 0.000 0.500
Pt 0.358 0.358 0.500
Pt 0.000 0.642 0.500

Record 11
PuTa | PBE | relaxed

Calculated values
Uncorrected energy (eV/atom): -11.68
Crystal system: cubic
Total magnetization (μB/atom): 2.212

Cell: 3.903 3.903 3.903 Å, 60.00 60.00 60.00°
Each line ends with the local moment (μB).
Positions (direct):
Pu 0.000 0.000 0.000  4.42
Ta 0.500 0.500 0.500  -0.04

Record 12
SrMgTaIr | PBE | relaxed

Calculated values
Uncorrected energy (eV/atom): -5.70
Crystal system: cubic
Total magnetization (μB/atom): 0.000

Cell: 4.789 4.789 4.789 Å, 60.00 60.00 60.00°
Positions (direct):
Ta 0.250 0.250 0.250
Sr 0.000 0.000 0.000
Ir 0.500 0.500 0.500
Mg 0.750 0.750 0.750

Record 13
LuAlCoRe | PBE | relaxed

Calculated values
Uncorrected energy (eV/atom): -6.65
Crystal system: cubic
Total magnetization (μB/atom): 0.682

Cell: 4.524 4.524 4.524 Å, 60.00 60.00 60.00°
Each line ends with the local moment (μB).
Positions (direct):
Re 0.500 0.500 0.500  0.95
Lu 0.250 0.250 0.250  0.23
Co 0.750 0.750 0.750  1.68
Al 0.000 0.000 0.000  -0.02

Record 14
TaNbPO | PBE | relaxed

Calculated values
Uncorrected energy (eV/atom): -8.98
Crystal system: tetragonal
Total magnetization (μB/atom): 0.004

Cell: 3.712 3.712 8.082 Å, 90.00 90.00 90.00°
Positions (direct):
O 0.500 0.500 0.000
Nb 0.000 0.500 0.156
O 0.000 0.000 0.000
P 0.500 0.000 0.274
Ta 0.000 0.000 0.500
Ta 0.500 0.500 0.500
Nb 0.500 0.000 0.844
P 0.000 0.500 0.726

Record 15
LaTaNO | PBE | relaxed

Calculated values
Uncorrected energy (eV/atom): -8.69
Crystal system: tetragonal
Total magnetization (μB/atom): 0.000

Cell: 4.481 4.481 6.096 Å, 90.00 90.00 90.00°
Positions (direct):
O 0.750 0.250 0.000
Ta 0.750 0.750 0.018
Ta 0.250 0.250 0.982
O 0.250 0.750 0.000
La 0.250 0.750 0.500
N 0.750 0.750 0.327
La 0.750 0.250 0.500
N 0.250 0.250 0.673

Record 16
Dy2YCu4Si2Ge2 | PBE | relaxed

Calculated values
Uncorrected energy (eV/atom): -5.25
Crystal system: orthorhombic
Total magnetization (μB/atom): 0.000

Cell: 7.952 7.952 7.952 Å, 149.76 130.87 58.78°
Positions (direct):
Cu 0.016 0.326 0.690
Dy 0.630 0.130 0.500
Si 0.783 0.783 0.000
Ge 0.692 0.500 0.192
Si 0.217 0.217 0.000
Y 0.000 0.000 0.000
Cu 0.636 0.326 0.310
Ge 0.308 0.500 0.808
Cu 0.364 0.674 0.690
Cu 0.984 0.674 0.310
Dy 0.370 0.870 0.500

Record 17
ScZnAg2 | PBE | relaxed

Calculated values
Uncorrected energy (eV/atom): -3.53
Crystal system: orthorhombic
Total magnetization (μB/atom): 0.001

Cell: 5.979 5.979 4.709 Å, 90.00 90.00 120.05°
Positions (direct):
Zn 0.161 0.839 0.250
Ag 0.840 0.672 0.750
Ag 0.328 0.160 0.750
Ag 0.160 0.328 0.250
Ag 0.672 0.840 0.250
Zn 0.839 0.161 0.750
Sc 0.667 0.333 0.250
Sc 0.333 0.667 0.750

Record 18
NdBiN2O | PBE | relaxed

Calculated values
Uncorrected energy (eV/atom): -6.60
Crystal system: orthorhombic
Total magnetization (μB/atom): 0.000

Cell: 5.989 5.989 5.989 Å, 88.27 120.86 121.15°
Positions (direct):
N 0.789 0.461 0.176
Bi 0.786 0.786 0.000
O 0.644 0.518 0.625
N 0.285 0.961 0.172
O 0.893 0.018 0.375
N 0.789 0.113 0.828
Bi 0.786 0.286 0.500
N 0.285 0.613 0.824
Nd 0.318 0.041 0.777
Nd 0.264 0.541 0.223

Record 19
ZrTl2CuCl6 | PBE | relaxed

Calculated values
Uncorrected energy (eV/atom): -3.90
Crystal system: cubic
Total magnetization (μB/atom): 0.100

Cell: 7.154 7.154 7.154 Å, 60.00 60.00 60.00°
Each line ends with the local moment (μB).
Positions (direct):
Cl 0.252 0.748 0.748  0.00
Cl 0.748 0.252 0.252  0.00
Cl 0.252 0.748 0.252  0.00
Cl 0.748 0.748 0.252  -0.01
Tl 0.750 0.750 0.750  0.01
Cu 0.500 0.500 0.500  0.00
Cl 0.252 0.252 0.748  -0.01
Cl 0.748 0.252 0.748  0.00
Tl 0.250 0.250 0.250  0.01
Zr 0.000 0.000 0.000  0.67

Record 20
Sr2SiNi4Ge | PBE | relaxed

Calculated values
Uncorrected energy (eV/atom): -4.92
Crystal system: trigonal
Total magnetization (μB/atom): 0.000

Cell: 4.094 4.094 10.547 Å, 90.00 90.00 120.00°
Positions (direct):
Sr 0.333 0.667 0.252
Ni 0.333 0.667 0.533
Ni 0.333 0.667 0.965
Sr 0.667 0.333 0.748
Si 0.000 0.000 0.500
Ge 0.000 0.000 0.000
Ni 0.667 0.333 0.467
Ni 0.667 0.333 0.035

no.,calculated density (g/cm³)
1,12.40
2,7.76
3,6.57
4,10.74
5,9.92
6,7.16
7,6.31
8,7.68
9,6.52
10,11.17
11,16.78
12,10.37
13,11.34
14,9.57
15,9.49
16,7.60
17,7.43
18,8.82
19,4.98
20,5.54